No. 1
First-principles (GGA-PBE) data for crystalline PaTi2Hg at its relaxed geometry, as listed in Alexandria via LeMat-Bulk.

Cell lengths 4.922, 4.922, 3.214 Å; angles 90.00, 90.00, 90.00 degrees
Element x y z (fractional)
Pa 0.000 0.000 0.000
Ti 0.000 0.500 0.500
Ti 0.500 0.000 0.500
Hg 0.500 0.500 0.000

## Properties
Calculated volume: 77.9 Å³/cell
Symmetry: No. 123
Total DFT energy (no corrections): -25.47 eV/f.u.
E above lowest polymorph: 0.000 eV per formula unit

No. 2
First-principles (GGA-PBE) data for crystalline PaTiHg at its relaxed geometry, as listed in Alexandria via LeMat-Bulk.

Cell lengths 4.996, 4.996, 3.080 Å; angles 90.00, 90.00, 120.00 degrees
Element x y z (fractional)
Pa 0.000 0.000 0.000
Ti 0.667 0.333 0.500
Hg 0.333 0.667 0.500

## Properties
Calculated volume: 66.6 Å³/cell
Symmetry: No. 187
Total DFT energy (no corrections): -17.04 eV/f.u.
E above lowest polymorph: 0.000 eV per formula unit

No. 3
First-principles (GGA-PBE) data for crystalline PaTiHg at its relaxed geometry, as listed in Alexandria via LeMat-Bulk.

Cell lengths 7.972, 7.972, 7.972 Å; angles 159.04, 158.54, 30.17 degrees
Element x y z (fractional)
Pa 0.000 0.000 0.000
Ti 0.163 0.663 0.500
Hg 0.805 0.305 0.500

## Properties
Calculated volume: 66.2 Å³/cell
Symmetry: No. 44
Total DFT energy (no corrections): -16.61 eV/f.u.
E above lowest polymorph: 0.433 eV per formula unit

No. 4
First-principles (GGA-PBE) data for crystalline PaTl2Hg at its relaxed geometry, as listed in Alexandria via LeMat-Bulk.

Cell lengths 12.418, 12.418, 12.418 Å; angles 15.06, 15.06, 15.06 degrees
Element x y z (fractional)
Pa 0.000 0.000 0.000
Tl 0.089 0.089 0.089
Tl 0.911 0.911 0.911
Hg 0.500 0.500 0.500

## Properties
Calculated volume: 112.6 Å³/cell
Symmetry: No. 166
Total DFT energy (no corrections): -13.26 eV/f.u.
E above lowest polymorph: 0.875 eV per formula unit

No. 5
First-principles (GGA-PBE) data for crystalline PaTl2Hg at its relaxed geometry, as listed in Alexandria via LeMat-Bulk.

Cell lengths 3.735, 3.735, 7.610 Å; angles 90.00, 90.00, 90.00 degrees
Element x y z (fractional)
Pa 0.000 0.000 0.000
Tl 0.500 0.500 0.262
Tl 0.500 0.500 0.738
Hg 0.000 0.000 0.500

## Properties
Calculated volume: 106.2 Å³/cell
Symmetry: No. 123
Total DFT energy (no corrections): -13.47 eV/f.u.
E above lowest polymorph: 0.671 eV per formula unit

No. 6
First-principles (GGA-PBE) data for crystalline PaTlHg2 at its relaxed geometry, as listed in Alexandria via LeMat-Bulk.

Cell lengths 12.287, 12.287, 12.287 Å; angles 15.18, 15.18, 15.18 degrees
Element x y z (fractional)
Pa 0.000 0.000 0.000
Tl 0.500 0.500 0.500
Hg 0.087 0.087 0.087
Hg 0.913 0.913 0.913

## Properties
Calculated volume: 110.8 Å³/cell
Symmetry: No. 166
Total DFT energy (no corrections): -11.45 eV/f.u.
E above lowest polymorph: 0.559 eV per formula unit

Copy entry 3 word for word.
First-principles (GGA-PBE) data for crystalline PaTiHg at its relaxed geometry, as listed in Alexandria via LeMat-Bulk.

Cell lengths 7.972, 7.972, 7.972 Å; angles 159.04, 158.54, 30.17 degrees
Element x y z (fractional)
Pa 0.000 0.000 0.000
Ti 0.163 0.663 0.500
Hg 0.805 0.305 0.500

## Properties
Calculated volume: 66.2 Å³/cell
Symmetry: No. 44
Total DFT energy (no corrections): -16.61 eV/f.u.
E above lowest polymorph: 0.433 eV per formula unit

calculated volume of number 5 (PaTl2Hg)?
106.2 Å³/cell